[1]
The following is a SCAN calculation of a PBEsol-optimized structure of ScPtF2, from Alexandria via LeMat-Bulk.

```
ScPtF2
1.0
1.4094 0.8137 9.2145
-1.4094 0.8137 9.2145
0.0000 -1.6274 9.2145
Sc Pt F
1 1 2
Direct
0.0000 0.0000 0.0000 Sc
0.5000 0.5000 0.5000 Pt
0.3802 0.3802 0.3802 F
0.6198 0.6198 0.6198 F
```

Results
SG: R-3m, No. 166
energy above the lowest structure with this stoichiometry: 0.0 kJ/mol of formula units
ΔE_f (raw): -2.0215 eV/atom

=====

[2]
The following is a SCAN calculation of a PBEsol-optimized structure of ScAlRh, from Alexandria via LeMat-Bulk.

```
ScAlRh
1.0
0.0000 3.0172 3.0172
3.0172 0.0000 3.0172
3.0172 3.0172 0.0000
Sc Al Rh
1 1 1
Direct
0.0000 0.0000 0.0000 Sc
0.2500 0.2500 0.2500 Al
0.5000 0.5000 0.5000 Rh
```

Results
SG: F-43m, No. 216
energy of formation from the pure elements: -0.33 eV/atom

=====

[3]
The following is a SCAN calculation of a PBEsol-optimized structure of ZnReIr, from Alexandria via LeMat-Bulk.

```
ZnReIr
1.0
-1.3781 1.3781 5.5402
1.3781 -1.3781 5.5402
1.3781 1.3781 -5.5402
Zn Re Ir
1 1 1
Direct
0.0000 0.0000 0.0000 Zn
0.3268 0.3268 0.0000 Re
0.6691 0.6691 0.0000 Ir
```

Results
SG: I4mm, No. 107
energy of formation from the pure elements: -0.10 eV/atom
energy above the lowest structure with this stoichiometry: 0.0 kJ/mol of formula units

=====

[4]
The following is a SCAN calculation of a PBEsol-optimized structure of Lu2Ni21B6, from Alexandria via LeMat-Bulk.

```
Lu2Ni21B6
1.0
0.0000 5.2436 5.2436
5.2436 0.0000 5.2436
5.2436 5.2436 0.0000
Lu Ni B
2 21 6
Direct
0.2500 0.2500 0.2500 Lu
0.7500 0.7500 0.7500 Lu
0.0000 0.0000 0.0000 Ni
0.0000 0.0000 0.3376 Ni
0.0000 0.0000 0.6624 Ni
0.0000 0.3376 0.0000 Ni
0.0000 0.3376 0.6624 Ni
0.0000 0.6624 0.0000 Ni
0.0000 0.6624 0.3376 Ni
0.1606 0.6131 0.6131 Ni
0.3376 0.0000 0.0000 Ni
0.3376 0.0000 0.6624 Ni
0.3376 0.6624 0.0000 Ni
0.3869 0.3869 0.3869 Ni
0.3869 0.3869 0.8394 Ni
0.3869 0.8394 0.3869 Ni
0.6131 0.1606 0.6131 Ni
0.6131 0.6131 0.1606 Ni
0.6131 0.6131 0.6131 Ni
0.6624 0.0000 0.0000 Ni
0.6624 0.0000 0.3376 Ni
0.6624 0.3376 0.0000 Ni
0.8394 0.3869 0.3869 Ni
0.2703 0.2703 0.7297 B
0.2703 0.7297 0.2703 B
0.2703 0.7297 0.7297 B
0.7297 0.2703 0.2703 B
0.7297 0.2703 0.7297 B
0.7297 0.7297 0.2703 B
```

Results
SG: Fm-3m, No. 225
energy of formation from the pure elements: -0.36 eV/atom

=====

[5]
The following is a SCAN calculation of a PBEsol-optimized structure of As2HPdBr, from Alexandria via LeMat-Bulk.

```
As2HPdBr
1.0
4.7313 0.0000 0.0000
0.0000 4.7313 0.0000
0.0000 0.0000 5.4304
As H Pd Br
2 1 1 1
Direct
0.0000 0.5000 0.0000 As
0.5000 0.0000 0.0000 As
0.0000 0.0000 0.5000 H
0.5000 0.5000 0.0000 Pd
0.5000 0.5000 0.5000 Br
```

Results
SG: P4/mmm, No. 123

=====

[6]
The following is a SCAN calculation of a PBEsol-optimized structure of LaMn2Pt2, from Alexandria via LeMat-Bulk.

```
LaMn2Pt2
1.0
-2.0288 2.0288 5.8049
2.0288 -2.0288 5.8049
2.0288 2.0288 -5.8049
La Mn Pt
1 2 2
Direct
0.0000 0.0000 0.0000 La
0.2500 0.7500 0.5000 Mn
0.7500 0.2500 0.5000 Mn
0.3853 0.3853 0.0000 Pt
0.6147 0.6147 0.0000 Pt
```

Results
SG: I4/mmm, No. 139
energy of formation from the pure elements: -0.94 eV/atom

=====

[7]
The following is a SCAN calculation of a PBEsol-optimized structure of K2HSO, from Alexandria via LeMat-Bulk.

```
K2HSO
1.0
5.3332 0.0000 0.0000
0.0000 5.3332 0.0000
0.0000 0.0000 3.6812
K H S O
2 1 1 1
Direct
0.0000 0.5000 0.0000 K
0.5000 0.0000 0.0000 K
0.0000 0.0000 0.5000 H
0.5000 0.5000 0.5000 S
0.5000 0.5000 0.0000 O
```

Results
SG: P4/mmm, No. 123

=====

[8]
The following is a SCAN calculation of a PBEsol-optimized structure of MnInMo3, from Alexandria via LeMat-Bulk.

```
MnInMo3
1.0
4.4419 0.0000 0.0000
0.0000 4.4419 0.0000
0.0000 0.0000 4.4419
Mn In Mo
1 1 3
Direct
0.0000 0.0000 0.0000 Mn
0.5000 0.5000 0.5000 In
0.0000 0.0000 0.5000 Mo
0.0000 0.5000 0.0000 Mo
0.5000 0.0000 0.0000 Mo
```

Results
SG: Pm-3m, No. 221
energy of formation from the pure elements: 0.99 eV/atom

=====

[9]
The following is a SCAN calculation of a PBEsol-optimized structure of V3NiO6, from Alexandria via LeMat-Bulk.

```
V3NiO6
1.0
2.4289 1.4023 4.6450
-2.4289 1.4023 4.6450
0.0000 -2.8047 4.6450
V Ni O
3 1 6
Direct
0.0000 0.0000 0.0000 V
0.1928 0.1928 0.1928 V
0.6946 0.6946 0.6946 V
0.4963 0.4963 0.4963 Ni
0.0801 0.4170 0.7974 O
0.2787 0.9317 0.5981 O
0.4170 0.7974 0.0801 O
0.5981 0.2787 0.9317 O
0.7974 0.0801 0.4170 O
0.9317 0.5981 0.2787 O
```

Results
SG: R3, No. 146
ΔE_f (raw): -2.3955 eV/atom

=====

[10]
The following is a SCAN calculation of a PBEsol-optimized structure of Ru3Se, from Alexandria via LeMat-Bulk.

```
Ru3Se
1.0
1.3822 -2.3409 0.0000
1.3822 2.3409 0.0000
0.0000 0.0000 8.9296
Ru Se
3 1
Direct
0.0000 0.0000 0.0000 Ru
0.5000 0.5000 0.2451 Ru
0.5000 0.5000 0.7549 Ru
0.0000 0.0000 0.5000 Se
```

Results
SG: Cmmm, No. 65
ΔE_f (raw): 0.6967 eV/atom

=====

[11]
The following is a SCAN calculation of a PBEsol-optimized structure of K4CdHg, from Alexandria via LeMat-Bulk.

```
K4CdHg
1.0
0.0000 5.2368 5.2368
5.2368 0.0000 5.2368
5.2368 5.2368 0.0000
K Cd Hg
4 1 1
Direct
0.1250 0.1250 0.1250 K
0.1250 0.1250 0.6249 K
0.1250 0.6249 0.1250 K
0.6249 0.1250 0.1250 K
0.5000 0.5000 0.5000 Cd
0.7500 0.7500 0.7500 Hg
```

Results
SG: F-43m, No. 216
energy of formation from the pure elements: 0.24 eV/atom

=====

[12]
The following is a SCAN calculation of a PBEsol-optimized structure of Sc2AgN, from Alexandria via LeMat-Bulk.

```
Sc2AgN
1.0
1.5556 0.8981 7.9523
-1.5556 0.8981 7.9523
0.0000 -1.7962 7.9523
Sc Ag N
2 1 1
Direct
0.1162 0.1162 0.1162 Sc
0.8838 0.8838 0.8838 Sc
0.0000 0.0000 0.0000 Ag
0.5000 0.5000 0.5000 N
```

Results
SG: R-3m, No. 166
ΔE_f (raw): -0.8977 eV/atom

=====

[13]
The following is a SCAN calculation of a PBEsol-optimized structure of ScHg2WSe, from Alexandria via LeMat-Bulk.

```
ScHg2WSe
1.0
5.1902 0.0000 0.0000
0.0000 5.1902 0.0000
0.0000 0.0000 4.9479
Sc Hg W Se
1 2 1 1
Direct
0.0000 0.0000 0.0000 Sc
0.0000 0.5000 0.5000 Hg
0.5000 0.0000 0.5000 Hg
0.0000 0.0000 0.5000 W
0.5000 0.5000 0.0000 Se
```

Results
SG: P4/mmm, No. 123
ΔE_f (raw): 0.8663 eV/atom

=====

no.,energy (eV per cell),theoretical density (g cm⁻³)
1,-99.596,7.28
2,-56.751,5.29
3,-156.011,17.51
4,-505.452,9.49
5,-91.845,4.61
6,-224.706,11.10
7,-38.828,2.02
8,-151.332,8.67
9,-129.980,5.38
10,-121.770,10.98
11,-130.484,2.71
12,-72.723,5.28
13,-236.004,8.83